# Li2ReAu (PBE, optimized geometry)
# - E_form: 739 meV per atom
# - Crystal system: tetragonal
data_Li2ReAu
_space_group_name_H-M_alt 'I -4 2 d'
_space_group_IT_number 122
_space_group_name_Hall 'I -4 2bw'
_cell_length_a 6.791
_cell_length_b 6.791
_cell_length_c 5.256
_cell_angle_alpha 90.00
_cell_angle_beta 90.00
_cell_angle_gamma 90.00
loop_
_atom_site_label
_atom_site_fract_x
_atom_site_fract_y
_atom_site_fract_z
_atom_site_occupancy
Li1 0.237 0.250 0.125 1
Re1 0.000 0.000 0.500 1
Au1 0.000 0.000 0.000 1